First-principles (PBE) data for a relaxed PmSiI crystal, as listed in Alexandria via LeMat-Bulk.

a b c (Å): 4.176 4.176 12.348
angles (deg): 88.97 88.97 60.00
Atoms (fractional coordinates):
I  0.678  0.678  0.170
I  0.322  0.322  0.830
Pm  0.994  0.994  0.659
Pm  0.006  0.006  0.341
Si  0.666  0.666  0.506
Si  0.334  0.334  0.494

Calculated values
As for the uncorrected energy: -4.9745 eV per atom. As for the crystal system: monoclinic. The value obtained for the formation energy (no corrections) is -1067 meV/atom.